# 1
Below is a relaxed structure of Cs2RbSb, with properties calculated at the PBE level.

a b c (Å): 6.553 6.553 6.553
angles (deg): 60.00 60.00 60.00
Sites, in units of the cell vectors:
Cs: 0.250 0.250 0.250
Cs: 0.750 0.750 0.750
Rb: 0.000 0.000 0.000
Sb: 0.500 0.500 0.500

Results
Total magnetic moment ... 0.0 μB/f.u.
Crystal system ... cubic
Space-group type ... Fm-3m (225)
E_form (uncorrected) ... -29.0 kJ/mol of atoms

***

# 2
Below is a relaxed structure of Cs7Rb12Sb, with properties calculated at the PBE level.

a b c (Å): 15.951 15.951 15.951
angles (deg): 116.75 116.75 116.75
Sites, in units of the cell vectors:
Cs: 0.000 0.000 0.000
Cs: 0.184 0.406 0.406
Cs: 0.406 0.184 0.406
Cs: 0.406 0.406 0.184
Cs: 0.594 0.594 0.816
Cs: 0.594 0.816 0.594
Cs: 0.816 0.594 0.594
Rb: 0.000 0.409 0.591
Rb: 0.000 0.591 0.409
Rb: 0.036 0.036 0.396
Rb: 0.036 0.396 0.036
Rb: 0.396 0.036 0.036
Rb: 0.409 0.000 0.591
Rb: 0.409 0.591 0.000
Rb: 0.591 0.000 0.409
Rb: 0.591 0.409 0.000
Rb: 0.604 0.964 0.964
Rb: 0.964 0.604 0.964
Rb: 0.964 0.964 0.604
Sb: 0.500 0.500 0.500

Results
Total magnetic moment ... 0.0 μB/f.u.
Crystal system ... trigonal
Space-group type ... R-3m (166)
E_form (uncorrected) ... -2.3 kJ/mol of atoms

***

# 3
Below is a relaxed structure of CsRb2Sb6, with properties calculated at the PBE level.

a b c (Å): 9.448 9.448 9.448
angles (deg): 153.31 93.28 92.83
Sites, in units of the cell vectors:
Cs: 0.000 0.000 0.000
Rb: 0.332 0.332 0.000
Rb: 0.668 0.668 0.000
Sb: 0.088 0.833 0.255
Sb: 0.259 0.500 0.759
Sb: 0.422 0.167 0.255
Sb: 0.578 0.833 0.745
Sb: 0.741 0.500 0.241
Sb: 0.912 0.167 0.745

Results
Total magnetic moment ... 0.0 μB/f.u.
Crystal system ... orthorhombic
Space-group type ... Immm (71)
E_form (uncorrected) ... -19.7 kJ/mol of atoms

***

# 4
Below is a relaxed structure of Cs12Rb5Sb3, with properties calculated at the PBE level.

a b c (Å): 21.248 21.248 21.248
angles (deg): 109.47 109.47 109.47
Sites, in units of the cell vectors:
Cs: 0.049 0.636 0.381
Cs: 0.049 0.913 0.668
Cs: 0.087 0.255 0.136
Cs: 0.087 0.332 0.951
Cs: 0.119 0.755 0.668
Cs: 0.119 0.864 0.451
Cs: 0.136 0.087 0.255
Cs: 0.136 0.549 0.881
Cs: 0.168 0.255 0.619
Cs: 0.168 0.413 0.549
Cs: 0.245 0.332 0.881
Cs: 0.245 0.413 0.364
Cs: 0.255 0.136 0.087
Cs: 0.255 0.619 0.168
Cs: 0.332 0.881 0.245
Cs: 0.332 0.951 0.087
Cs: 0.364 0.245 0.413
Cs: 0.364 0.619 0.951
Cs: 0.381 0.049 0.636
Cs: 0.381 0.832 0.745
Cs: 0.413 0.364 0.245
Cs: 0.413 0.549 0.168
Cs: 0.451 0.119 0.864
Cs: 0.451 0.832 0.587
Cs: 0.549 0.168 0.413
Cs: 0.549 0.881 0.136
Cs: 0.587 0.451 0.832
Cs: 0.587 0.636 0.755
Cs: 0.619 0.168 0.255
Cs: 0.619 0.951 0.364
Cs: 0.636 0.381 0.049
Cs: 0.636 0.755 0.587
Cs: 0.668 0.049 0.913
Cs: 0.668 0.119 0.755
Cs: 0.745 0.381 0.832
Cs: 0.745 0.864 0.913
Cs: 0.755 0.587 0.636
Cs: 0.755 0.668 0.119
Cs: 0.832 0.587 0.451
Cs: 0.832 0.745 0.381
Cs: 0.864 0.451 0.119
Cs: 0.864 0.913 0.745
Cs: 0.881 0.136 0.549
Cs: 0.881 0.245 0.332
Cs: 0.913 0.668 0.049
Cs: 0.913 0.745 0.864
Cs: 0.951 0.087 0.332
Cs: 0.951 0.364 0.619
Rb: 0.000 0.000 0.000
Rb: 0.000 0.000 0.500
Rb: 0.000 0.500 0.000
Rb: 0.000 0.500 0.500
Rb: 0.125 0.750 0.875
Rb: 0.125 0.875 0.250
Rb: 0.250 0.125 0.875
Rb: 0.250 0.625 0.375
Rb: 0.375 0.250 0.625
Rb: 0.375 0.625 0.750
Rb: 0.500 0.000 0.000
Rb: 0.500 0.000 0.500
Rb: 0.500 0.500 0.000
Rb: 0.500 0.500 0.500
Rb: 0.625 0.375 0.250
Rb: 0.625 0.750 0.375
Rb: 0.750 0.375 0.625
Rb: 0.750 0.875 0.125
Rb: 0.875 0.125 0.750
Rb: 0.875 0.250 0.125
Sb: 0.125 0.250 0.375
Sb: 0.125 0.375 0.750
Sb: 0.250 0.375 0.125
Sb: 0.250 0.875 0.625
Sb: 0.375 0.125 0.250
Sb: 0.375 0.750 0.125
Sb: 0.625 0.250 0.875
Sb: 0.625 0.875 0.750
Sb: 0.750 0.125 0.375
Sb: 0.750 0.625 0.875
Sb: 0.875 0.625 0.250
Sb: 0.875 0.750 0.625

Results
Total magnetic moment ... 0.0 μB/f.u.
Crystal system ... cubic
Space-group type ... Ia-3d (230)
E_form (uncorrected) ... 1.3 kJ/mol of atoms

***

# 5
Below is a relaxed structure of CsRb2Sb2, with properties calculated at the PBE level.

a b c (Å): 9.666 9.666 5.291
angles (deg): 90.00 90.00 90.00
Sites, in units of the cell vectors:
Cs: 0.000 0.000 0.000
Cs: 0.500 0.500 0.000
Rb: 0.170 0.330 0.500
Rb: 0.330 0.830 0.500
Rb: 0.670 0.170 0.500
Rb: 0.830 0.670 0.500
Sb: 0.104 0.604 0.000
Sb: 0.396 0.104 0.000
Sb: 0.604 0.896 0.000
Sb: 0.896 0.396 0.000

Results
Total magnetic moment ... 0.0 μB/f.u.
Crystal system ... tetragonal
ΔE to the lowest computed polymorph ... 27 meV/atom
Space-group type ... P4/mbm (127)
E_form (uncorrected) ... -32.1 kJ/mol of atoms

***

# 6
Below is a relaxed structure of Cs12Rb3Sb5, with properties calculated at the PBE level.

a b c (Å): 21.316 21.316 21.316
angles (deg): 109.47 109.47 109.47
Sites, in units of the cell vectors:
Cs: 0.004 0.187 0.083
Cs: 0.004 0.317 0.921
Cs: 0.079 0.583 0.396
Cs: 0.079 0.996 0.683
Cs: 0.083 0.004 0.187
Cs: 0.083 0.579 0.896
Cs: 0.104 0.687 0.683
Cs: 0.104 0.917 0.421
Cs: 0.183 0.187 0.604
Cs: 0.183 0.496 0.579
Cs: 0.187 0.083 0.004
Cs: 0.187 0.604 0.183
Cs: 0.313 0.317 0.896
Cs: 0.313 0.496 0.417
Cs: 0.317 0.896 0.313
Cs: 0.317 0.921 0.004
Cs: 0.396 0.079 0.583
Cs: 0.396 0.817 0.813
Cs: 0.417 0.313 0.496
Cs: 0.417 0.604 0.921
Cs: 0.421 0.104 0.917
Cs: 0.421 0.817 0.504
Cs: 0.496 0.417 0.313
Cs: 0.496 0.579 0.183
Cs: 0.504 0.421 0.817
Cs: 0.504 0.583 0.687
Cs: 0.579 0.183 0.496
Cs: 0.579 0.896 0.083
Cs: 0.583 0.396 0.079
Cs: 0.583 0.687 0.504
Cs: 0.604 0.183 0.187
Cs: 0.604 0.921 0.417
Cs: 0.683 0.079 0.996
Cs: 0.683 0.104 0.687
Cs: 0.687 0.504 0.583
Cs: 0.687 0.683 0.104
Cs: 0.813 0.396 0.817
Cs: 0.813 0.917 0.996
Cs: 0.817 0.504 0.421
Cs: 0.817 0.813 0.396
Cs: 0.896 0.083 0.579
Cs: 0.896 0.313 0.317
Cs: 0.917 0.421 0.104
Cs: 0.917 0.996 0.813
Cs: 0.921 0.004 0.317
Cs: 0.921 0.417 0.604
Cs: 0.996 0.683 0.079
Cs: 0.996 0.813 0.917
Rb: 0.125 0.250 0.375
Rb: 0.125 0.375 0.750
Rb: 0.250 0.375 0.125
Rb: 0.250 0.875 0.625
Rb: 0.375 0.125 0.250
Rb: 0.375 0.750 0.125
Rb: 0.625 0.250 0.875
Rb: 0.625 0.875 0.750
Rb: 0.750 0.125 0.375
Rb: 0.750 0.625 0.875
Rb: 0.875 0.625 0.250
Rb: 0.875 0.750 0.625
Sb: 0.000 0.000 0.000
Sb: 0.000 0.000 0.500
Sb: 0.000 0.500 0.000
Sb: 0.000 0.500 0.500
Sb: 0.125 0.750 0.875
Sb: 0.125 0.875 0.250
Sb: 0.250 0.125 0.875
Sb: 0.250 0.625 0.375
Sb: 0.375 0.250 0.625
Sb: 0.375 0.625 0.750
Sb: 0.500 0.000 0.000
Sb: 0.500 0.000 0.500
Sb: 0.500 0.500 0.000
Sb: 0.500 0.500 0.500
Sb: 0.625 0.375 0.250
Sb: 0.625 0.750 0.375
Sb: 0.750 0.375 0.625
Sb: 0.750 0.875 0.125
Sb: 0.875 0.125 0.750
Sb: 0.875 0.250 0.125

Results
Total magnetic moment ... 4.7 μB/f.u.
Crystal system ... cubic
Space-group type ... Ia-3d (230)
E_form (uncorrected) ... -3.5 kJ/mol of atoms

***

# 7
Below is a relaxed structure of CsRbSb3, with properties calculated at the PBE level.

a b c (Å): 6.386 6.386 6.386
angles (deg): 90.00 90.00 90.00
Sites, in units of the cell vectors:
Cs: 0.000 0.000 0.000
Rb: 0.500 0.500 0.500
Sb: 0.000 0.000 0.500
Sb: 0.000 0.500 0.000
Sb: 0.500 0.000 0.000

Results
Total magnetic moment ... 0.0 μB/f.u.
Crystal system ... cubic
ΔE to the lowest computed polymorph ... 1025 meV/atom
Space-group type ... Pm-3m (221)
E_form (uncorrected) ... 84.4 kJ/mol of atoms

***

# 8
Below is a relaxed structure of CsRbSb5, with properties calculated at the PBE level.

a b c (Å): 7.242 7.242 13.968
angles (deg): 93.46 93.46 130.53
Sites, in units of the cell vectors:
Cs: 0.244 0.756 0.750
Cs: 0.756 0.244 0.250
Rb: 0.000 0.500 0.000
Rb: 0.500 0.000 0.500
Sb: 0.069 0.931 0.250
Sb: 0.139 0.259 0.544
Sb: 0.259 0.139 0.044
Sb: 0.367 0.436 0.351
Sb: 0.436 0.367 0.851
Sb: 0.564 0.633 0.149
Sb: 0.633 0.564 0.649
Sb: 0.741 0.861 0.956
Sb: 0.861 0.741 0.456
Sb: 0.931 0.069 0.750

Results
Total magnetic moment ... 0.0 μB/f.u.
Crystal system ... monoclinic
Space-group type ... C2/c (15)
E_form (uncorrected) ... -18.2 kJ/mol of atoms

***

# 9
Below is a relaxed structure of CsRb2Sb2, with properties calculated at the PBE level.

a b c (Å): 6.441 6.441 7.148
angles (deg): 111.91 111.91 61.49
Sites, in units of the cell vectors:
Cs: 0.000 0.000 0.000
Rb: 0.252 0.252 0.697
Rb: 0.748 0.748 0.303
Sb: 0.407 0.407 0.287
Sb: 0.593 0.593 0.713

Results
Total magnetic moment ... 0.1 μB/f.u.
Crystal system ... monoclinic
ΔE to the lowest computed polymorph ... 0 meV/atom
Space-group type ... C2/m (12)
E_form (uncorrected) ... -34.7 kJ/mol of atoms

***

# 10
Below is a relaxed structure of Cs2RbSb, with properties calculated at the PBE level.

a b c (Å): 6.478 6.478 6.478
angles (deg): 119.73 119.73 90.47
Sites, in units of the cell vectors:
Cs: 0.000 0.000 0.000
Cs: 0.750 0.250 0.500
Rb: 0.250 0.750 0.500
Sb: 0.500 0.500 0.000

Results
Total magnetic moment ... 0.0 μB/f.u.
Crystal system ... tetragonal
Space-group type ... I-4m2 (119)
E_form (uncorrected) ... -33.0 kJ/mol of atoms

***

# 11
Below is a relaxed structure of Cs2Rb2Sb, with properties calculated at the PBE level.

a b c (Å): 9.696 9.696 7.171
angles (deg): 90.00 90.00 90.00
Sites, in units of the cell vectors:
Cs: 0.144 0.356 0.000
Cs: 0.356 0.856 0.000
Cs: 0.644 0.144 0.000
Cs: 0.856 0.644 0.000
Rb: 0.202 0.702 0.500
Rb: 0.298 0.202 0.500
Rb: 0.702 0.798 0.500
Rb: 0.798 0.298 0.500
Sb: 0.000 0.000 0.000
Sb: 0.500 0.500 0.000

Results
Total magnetic moment ... 0.9 μB/f.u.
Crystal system ... tetragonal
ΔE to the lowest computed polymorph ... 68 meV/atom
Space-group type ... P4/mbm (127)
E_form (uncorrected) ... -5.0 kJ/mol of atoms

***

# 12
Below is a relaxed structure of Cs2Rb2Sb, with properties calculated at the PBE level.

a b c (Å): 9.461 9.461 7.139
angles (deg): 90.00 90.00 90.00
Sites, in units of the cell vectors:
Cs: 0.208 0.292 0.000
Cs: 0.292 0.792 0.000
Cs: 0.708 0.208 0.000
Cs: 0.792 0.708 0.000
Rb: 0.149 0.649 0.500
Rb: 0.351 0.149 0.500
Rb: 0.649 0.851 0.500
Rb: 0.851 0.351 0.500
Sb: 0.000 0.000 0.500
Sb: 0.500 0.500 0.500

Results
Total magnetic moment ... 0.7 μB/f.u.
Crystal system ... tetragonal
ΔE to the lowest computed polymorph ... 0 meV/atom
Space-group type ... P4/mbm (127)
E_form (uncorrected) ... -11.5 kJ/mol of atoms

***

# 13
Below is a relaxed structure of CsRb2Sb3, with properties calculated at the PBE level.

a b c (Å): 7.337 7.337 10.916
angles (deg): 91.36 91.36 117.55
Sites, in units of the cell vectors:
Cs: 0.100 0.900 0.750
Cs: 0.900 0.100 0.250
Rb: 0.221 0.451 0.917
Rb: 0.451 0.221 0.417
Rb: 0.549 0.779 0.583
Rb: 0.779 0.549 0.083
Sb: 0.003 0.650 0.414
Sb: 0.323 0.677 0.250
Sb: 0.350 0.997 0.086
Sb: 0.650 0.003 0.914
Sb: 0.677 0.323 0.750
Sb: 0.997 0.350 0.586

Results
Total magnetic moment ... 0.0 μB/f.u.
Crystal system ... monoclinic
Space-group type ... C2/c (15)
E_form (uncorrected) ... -37.3 kJ/mol of atoms

***

# 14
Below is a relaxed structure of Cs4RbSb4, with properties calculated at the PBE level.

a b c (Å): 11.631 11.631 7.720
angles (deg): 90.00 90.00 90.00
Sites, in units of the cell vectors:
Cs: 0.063 0.664 0.094
Cs: 0.164 0.937 0.594
Cs: 0.336 0.563 0.594
Cs: 0.437 0.836 0.094
Cs: 0.563 0.164 0.906
Cs: 0.664 0.437 0.406
Cs: 0.836 0.063 0.406
Cs: 0.937 0.336 0.906
Rb: 0.250 0.250 0.250
Rb: 0.750 0.750 0.750
Sb: 0.005 0.604 0.586
Sb: 0.104 0.995 0.086
Sb: 0.396 0.505 0.086
Sb: 0.495 0.896 0.586
Sb: 0.505 0.104 0.414
Sb: 0.604 0.495 0.914
Sb: 0.896 0.005 0.914
Sb: 0.995 0.396 0.414

Results
Total magnetic moment ... 3.1 μB/f.u.
Crystal system ... tetragonal
Space-group type ... P4_2/n (86)
E_form (uncorrected) ... -30.3 kJ/mol of atoms

***

# 15
Below is a relaxed structure of Cs2RbSb, with properties calculated at the PBE level.

a b c (Å): 13.705 13.705 13.705
angles (deg): 155.33 155.33 35.16
Sites, in units of the cell vectors:
Cs: 0.109 0.625 0.984
Cs: 0.375 0.359 0.484
Cs: 0.641 0.125 0.016
Cs: 0.875 0.891 0.516
Rb: 0.250 0.750 0.500
Rb: 0.500 0.500 0.000
Sb: 0.000 0.000 0.000
Sb: 0.750 0.250 0.500

Results
Total magnetic moment ... 0.0 μB/f.u.
Crystal system ... tetragonal
Space-group type ... I-42d (122)
E_form (uncorrected) ... -8.8 kJ/mol of atoms